Entry 1:
The following is a DFT calculation (PBE) of a geometry-optimized TlReH3 structure.

Calculated values
- total energy (eV/atom) = -4.371
- ΔE to the lowest computed polymorph (eV/atom) = 0.000
- ρ (g/cm³) = 12.96
- D(E_F) (states/eV/cell) = 2.7

abc: 3.6943 3.6943 3.6943
angles: 90.00 90.00 90.00
Last column: nearest neighbours and their distance in Å.
Space group Pm-3m (No. 221)
Symmetry-distinct sites (fractional):
Tl1 0.0000 0.0000 0.0000 (multiplicity 1)  12 H 2.61
Re1 0.5000 0.5000 0.5000 (multiplicity 1)  6 H 1.85
H1 0.0000 0.5000 0.5000 (multiplicity 3)  2 Re 1.85

=====

Entry 2:
The following is a DFT calculation (PBE) of a geometry-optimized Tl3ReH structure.

Calculated values
- total energy (eV/atom) = -3.465
- ΔE to the lowest computed polymorph (eV/atom) = 0.132
- ρ (g/cm³) = 13.04
- D(E_F) (states/eV/cell) = 2.8

abc: 4.6708 4.6708 4.6708
angles: 90.00 90.00 90.00
Last column: nearest neighbours and their distance in Å.
Space group Pm-3m (No. 221)
Symmetry-distinct sites (fractional):
Tl1 0.0000 0.0000 0.5000 (multiplicity 3)  2 H 2.34
Re1 0.5000 0.5000 0.5000 (multiplicity 1)  12 Tl 3.30
H1 0.0000 0.0000 0.0000 (multiplicity 1)  6 Tl 2.34

=====

Entry 3:
The following is a DFT calculation (PBE) of a geometry-optimized TlReH2 structure.

Calculated values
- total energy (eV/atom) = -4.759
- ΔE to the lowest computed polymorph (eV/atom) = 0.000
- ρ (g/cm³) = 13.88
- D(E_F) (states/eV/cell) = 2.2

abc: 5.7743 5.7743 5.6350
angles: 90.00 90.00 90.00
Last column: nearest neighbours and their distance in Å.
Space group I-42d (No. 122)
Symmetry-distinct sites (fractional):
Tl1 0.0000 0.0000 0.0000 (multiplicity 4)  8 H 2.62-2.69, 2 Re 2.82
Re1 0.0000 0.0000 0.5000 (multiplicity 4)  4 H 1.80
H1 0.1419 0.2500 0.6250 (multiplicity 8)  2 Re 1.80

=====

Entry 4:
The following is a DFT calculation (PBE) of a geometry-optimized TlReHW2 structure.

Calculated values
- total energy (eV/atom) = -6.718
- ρ (g/cm³) = 15.21
- D(E_F) (states/eV/cell) = 4.2

abc: 5.1288 5.1288 3.1504
angles: 90.00 90.00 90.00
Last column: nearest neighbours and their distance in Å.
Space group P4/mmm (No. 123)
Symmetry-distinct sites (fractional):
Tl1 0.0000 0.0000 0.0000 (multiplicity 1)  2 H 1.58
Re1 0.5000 0.5000 0.5000 (multiplicity 1)  8 W 3.01, 2 Re 3.15
H1 0.0000 0.0000 0.5000 (multiplicity 1)  2 Tl 1.58
W1 0.0000 0.5000 0.0000 (multiplicity 2)  2 Tl 2.56

=====

Entry 5:
The following is a DFT calculation (PBE) of a geometry-optimized U2ReH structure.

Calculated values
- total energy (eV/atom) = -9.143
- ρ (g/cm³) = 16.34
- D(E_F) (states/eV/cell) = 22.8

abc: 2.9970 2.9970 26.0014
angles: 90.00 90.00 120.00
Last column: nearest neighbours and their distance in Å.
Space group R-3m (No. 166, hexagonal axes)
Symmetry-distinct sites (fractional):
U1 0.0000 0.0000 0.0779 (multiplicity 6)  1 H 2.03
Re1 0.0000 0.0000 0.5000 (multiplicity 3)  6 U 2.88, 6 Re 3.00
H1 0.0000 0.0000 0.0000 (multiplicity 3)  2 U 2.03

=====

Entry 6:
The following is a DFT calculation (PBE) of a geometry-optimized UReH structure.

Calculated values
- total energy (eV/atom) = -8.718
- ΔE to the lowest computed polymorph (eV/atom) = 0.000
- ρ (g/cm³) = 15.81
- D(E_F) (states/eV/cell) = 8.8

abc: 2.8563 8.0521 4.8200
angles: 90.00 126.33 90.00
Last column: nearest neighbours and their distance in Å.
Space group Pc (No. 7)
Symmetry-distinct sites (fractional):
U1 0.0000 0.1386 0.0000 (multiplicity 2)  5 H 2.23-2.41
Re1 0.4479 0.4403 0.9914 (multiplicity 2)  6 Re 2.59-2.86, 2 U 2.76-2.88
H1 0.0011 0.1389 0.5002 (multiplicity 2)  5 U 2.23-2.41

=====

Entry 7:
The following is a DFT calculation (PBE) of a geometry-optimized UReH structure.

Calculated values
- total energy (eV/atom) = -8.485
- ΔE to the lowest computed polymorph (eV/atom) = 0.232
- ρ (g/cm³) = 17.32
- D(E_F) (states/eV/cell) = 5.6

abc: 2.9769 2.9769 9.2007
angles: 90.00 90.00 90.00
Last column: nearest neighbours and their distance in Å.
Space group I4mm (No. 107)
Symmetry-distinct sites (fractional):
U1 0.0000 0.0000 0.0000 (multiplicity 2)  4 H 2.30, 1 Re 2.57
Re1 0.0000 0.0000 0.2796 (multiplicity 2)  1 U 2.57, 4 H 2.67
H1 0.0000 0.0000 0.6015 (multiplicity 2)  4 U 2.30

=====

Entry 8:
The following is a DFT calculation (PBE) of a geometry-optimized V2ReH2 structure.

Calculated values
- total energy (eV/atom) = -7.263
- ΔE to the lowest computed polymorph (eV/atom) = 0.067
- ρ (g/cm³) = 9.90
- D(E_F) (states/eV/cell) = 10.0

abc: 5.7532 5.7532 2.9392
angles: 90.00 90.00 90.00
Last column: nearest neighbours and their distance in Å.
Space group P4/mbm (No. 127)
Symmetry-distinct sites (fractional):
V1 0.1628 0.3372 0.0000 (multiplicity 4)  2 H 2.01
Re1 0.0000 0.0000 0.5000 (multiplicity 2)  4 H 2.14
H1 0.1693 0.6693 0.5000 (multiplicity 4)  2 V 2.01, 2 Re 2.14

=====

Question: Number 6 is which compound?
Answer: UReH